## IrC2 (PBE-GGA)

Data for crystalline IrC2 at its relaxed geometry.

a = 7.027 Å, b = 2.533 Å, c = 9.704 Å
α = 90.00°, β = 90.00°, γ = 90.00°
Atoms (fractional coordinates):
1 Ir 0.084 0.250 0.099
2 Ir 0.416 0.750 0.599
3 Ir 0.584 0.250 0.401
4 Ir 0.916 0.750 0.901
5 C 0.134 0.750 0.766
6 C 0.205 0.250 0.722
7 C 0.295 0.750 0.222
8 C 0.366 0.250 0.266
9 C 0.634 0.750 0.734
10 C 0.705 0.250 0.778
11 C 0.795 0.750 0.278
12 C 0.866 0.250 0.234

- DOS(E_F) (states/eV/atom) = 0.318
- space-group type = No. 62
- E (eV/cell) = -97.6
- ΔE_f (meV per atom) = 967